## CoRe2Se (GGA-PBE)

Data for an optimized crystal structure of CoRe2Se.

Computed properties:
M_tot = 2.22 μB/cell
DOS at the Fermi energy = 6.95 states/eV per cell
Final energy = -34.28 eV/f.u.

Unit cell a=2.8329 b=2.8329 c=24.8439 alpha=90.00 beta=90.00 gamma=120.00
Space group R3m (No. 160, hexagonal axes)
Symmetry-distinct sites (fractional):
Co  0.0000  0.0000  0.0000 (multiplicity 3)
Re  0.0000  0.0000  0.2491 (multiplicity 3)
Re  0.0000  0.0000  0.4973 (multiplicity 3)
Se  0.0000  0.0000  0.7396 (multiplicity 3)